First-principles (PBE) data for a relaxed ErThB crystal, as listed in the Open Quantum Materials Database.

Summary:
- Total moment: 0.00 μB/cell
- VASP energy: -6.108 eV per atom
- Space group: No. 216

abc: 4.566 4.566 4.566
angles: 60.00 60.00 60.00
Fractional coordinates of all 3 atoms:
Er 0.000 0.000 0.000
Th 0.500 0.500 0.500
B 0.250 0.250 0.250